(1)
! Cs2ZnCl4 (GGA-PBE, optimized geometry); values from VASP
&SYSTEM
  ibrav = 0, nat = 7, ntyp = 3
/
ATOMIC_SPECIES
Cl 35.45 Cl.upf
Cs 132.91 Cs.upf
Zn 65.41 Zn.upf
CELL_PARAMETERS angstrom
7.6209 0.0000 0.0000
0.0000 7.6209 0.0000
0.0000 0.0000 4.5979
ATOMIC_POSITIONS angstrom
Cl 1.6680 1.6680 0.0000
Cl 5.9529 1.6680 0.0000
Cl 1.6680 5.9529 0.0000
Cl 5.9529 5.9529 0.0000
Cs 3.8105 0.0000 2.2990
Cs 0.0000 3.8105 2.2990
Zn 0.0000 0.0000 0.0000
! symmetry: P4/mmm
! raw total energy: -0.1126 Ha/atom


(2)
! Cs3ZrCl6 (GGA-PBE, optimized geometry); values from VASP
&SYSTEM
  ibrav = 0, nat = 10, ntyp = 3
/
ATOMIC_SPECIES
Cl 35.45 Cl.upf
Cs 132.91 Cs.upf
Zr 91.22 Zr.upf
CELL_PARAMETERS angstrom
0.0000 5.7687 5.7687
5.7687 0.0000 5.7687
5.7687 5.7687 0.0000
ATOMIC_POSITIONS angstrom
Cl 2.5481 5.7687 5.7687
Cl 5.7687 2.5481 5.7687
Cl 5.7687 5.7687 8.9894
Cl 5.7687 5.7687 2.5481
Cl 5.7687 8.9894 5.7687
Cl 8.9894 5.7687 5.7687
Cs 2.8844 2.8844 2.8844
Cs 5.7687 5.7687 5.7687
Cs 8.6531 8.6531 8.6531
Zr 0.0000 0.0000 0.0000
! symmetry: Fm-3m
! raw total energy: -0.1497 Ha/atom
! total moment: 1.0 Bohr magnetons per cell


(3)
! Cu2Cl (GGA-PBE, optimized geometry); values from VASP
&SYSTEM
  ibrav = 0, nat = 3, ntyp = 2
/
ATOMIC_SPECIES
Cl 35.45 Cl.upf
Cu 63.55 Cu.upf
CELL_PARAMETERS angstrom
-1.2808 0.6045 3.9113
-0.6233 3.8633 1.4108
-3.8661 1.3463 0.7379
ATOMIC_POSITIONS angstrom
Cl 0.0000 0.0000 0.0000
Cu -1.4426 1.4535 1.5150
Cu -4.3277 4.3606 4.5450
! symmetry: Fm-3m
! energy relative to the lowest polymorph listed for this composition: 0.436 eV per formula unit


(4)
! Cu2Cl (GGA-PBE, optimized geometry); values from VASP
&SYSTEM
  ibrav = 0, nat = 6, ntyp = 2
/
ATOMIC_SPECIES
Cl 35.45 Cl.upf
Cu 63.55 Cu.upf
CELL_PARAMETERS angstrom
4.5109 -1.5096 -1.7264
2.0383 -4.3152 1.6827
0.3218 -4.0114 -3.0679
ATOMIC_POSITIONS angstrom
Cl 0.0000 0.0000 0.0000
Cl 1.7177 -2.4591 -0.7779
Cu 4.1335 -4.1419 -0.4108
Cu 3.2752 -3.9900 -2.7861
Cu 2.0389 -5.3929 -1.0815
Cu 4.2944 -6.1476 -1.9447
! symmetry: Fd-3m
! energy relative to the lowest polymorph listed for this composition: 0.000 eV per formula unit


(5)
! CuCl (GGA-PBE, optimized geometry); values from VASP
&SYSTEM
  ibrav = 0, nat = 2, ntyp = 2
/
ATOMIC_SPECIES
Cl 35.45 Cl.upf
Cu 63.55 Cu.upf
CELL_PARAMETERS angstrom
-0.1353 -4.2824 -0.8891
0.6511 1.3624 4.1071
-4.1593 -0.0059 0.6613
ATOMIC_POSITIONS angstrom
Cl 0.0000 0.0000 0.0000
Cu -2.0797 -0.0029 0.3307
! symmetry: P6/mmm
! raw total energy: -0.1088 Ha/atom


(6)
! CuCl (GGA-PBE, optimized geometry); values from VASP
&SYSTEM
  ibrav = 0, nat = 2, ntyp = 2
/
ATOMIC_SPECIES
Cl 35.45 Cl.upf
Cu 63.55 Cu.upf
CELL_PARAMETERS angstrom
-3.6328 -0.6460 -1.0111
1.3551 3.5768 0.0839
1.1853 -2.4317 -2.7053
ATOMIC_POSITIONS angstrom
Cl -1.7507 0.6959 -1.3927
Cu 0.0000 0.0000 0.0000
! symmetry: F-43m
! raw total energy: -0.1165 Ha/atom


(7)
! CuCl (GGA-PBE, optimized geometry); values from VASP
&SYSTEM
  ibrav = 0, nat = 8, ntyp = 2
/
ATOMIC_SPECIES
Cl 35.45 Cl.upf
Cu 63.55 Cu.upf
CELL_PARAMETERS angstrom
-2.6974 -2.1236 1.9900
0.6734 -3.0951 -2.3902
8.4103 -3.8232 7.3203
ATOMIC_POSITIONS angstrom
Cl 1.2739 -1.9736 -0.3793
Cl 1.9192 -2.5474 3.8394
Cl 5.4791 -3.8852 3.2808
Cl 6.1244 -4.4590 7.4995
Cu 1.5966 -2.2605 1.7300
Cu 0.5846 -4.8699 1.5299
Cu 4.4530 -5.2339 6.3852
Cu 6.1385 -5.7196 4.1951
! symmetry: P4_2/ncm
! raw total energy: -0.1177 Ha/atom


(8)
! CuCl (GGA-PBE, optimized geometry); values from VASP
&SYSTEM
  ibrav = 0, nat = 4, ntyp = 2
/
ATOMIC_SPECIES
Cl 35.45 Cl.upf
Cu 63.55 Cu.upf
CELL_PARAMETERS angstrom
-0.4842 2.7866 -2.5568
-0.7113 -3.6189 -0.9666
-5.9303 0.6704 1.8537
ATOMIC_POSITIONS angstrom
Cl -0.6374 -1.4835 -1.4961
Cl -3.5269 0.9868 -1.0993
Cu -2.8576 -1.2326 -0.8022
Cu -5.7470 1.2378 -0.4054
! symmetry: P6_3mc
! raw total energy: -0.1164 Ha/atom


(9)
! CuCl (GGA-PBE, optimized geometry); values from VASP
&SYSTEM
  ibrav = 0, nat = 2, ntyp = 2
/
ATOMIC_SPECIES
Cl 35.45 Cl.upf
Cu 63.55 Cu.upf
CELL_PARAMETERS angstrom
0.0000 2.5503 2.5503
2.5503 0.0000 2.5503
2.5503 2.5503 0.0000
ATOMIC_POSITIONS angstrom
Cl 0.0000 0.0000 0.0000
Cu 2.5503 2.5503 2.5503
! symmetry: Fm-3m
! raw total energy: -0.1100 Ha/atom


(10)
! Cu2Cl13 (GGA-PBE, optimized geometry); values from VASP
&SYSTEM
  ibrav = 0, nat = 15, ntyp = 2
/
ATOMIC_SPECIES
Cl 35.45 Cl.upf
Cu 63.55 Cu.upf
CELL_PARAMETERS angstrom
7.1973 0.0000 0.0000
-0.5554 7.4174 0.0000
-0.1044 -0.7370 7.9070
ATOMIC_POSITIONS angstrom
Cl 0.0000 0.0000 0.0000
Cl 2.8594 1.1792 0.6703
Cl 5.6788 2.5336 1.2767
Cl 1.3459 4.2886 1.9153
Cl 5.3600 6.2453 2.6362
Cl 2.0127 0.7210 3.4663
Cl 1.1876 4.3060 3.9417
Cl 5.3498 2.3744 3.9653
Cl 4.5248 5.9595 4.4407
Cl 1.1774 0.4351 5.2708
Cl 5.1916 2.3919 5.9917
Cl 0.8587 4.1468 6.6303
Cl 3.6781 5.5013 7.2367
Cu 5.0552 0.6631 0.3791
Cu 1.4823 6.0173 7.5278
! symmetry: P-1
! raw total energy: -0.0824 Ha/atom


(11)
! Cu2Cl (GGA-PBE, optimized geometry); values from VASP
&SYSTEM
  ibrav = 0, nat = 6, ntyp = 2
/
ATOMIC_SPECIES
Cl 35.45 Cl.upf
Cu 63.55 Cu.upf
CELL_PARAMETERS angstrom
-1.2774 -6.6134 -2.9609
-0.9021 -5.8658 4.3491
-6.6376 -3.1056 0.6584
ATOMIC_POSITIONS angstrom
Cl -2.2043 -3.8962 0.5116
Cl -4.4085 -7.7924 1.0233
Cu -3.7574 -8.7772 2.9420
Cu -3.9451 -9.1510 -0.7130
Cu -3.3064 -5.8443 0.7675
Cu -6.6252 -7.3971 1.0967
! symmetry: Fd-3m
! energy relative to the lowest polymorph listed for this composition: 1.189 eV per formula unit


(12)
! CuCl (GGA-PBE, optimized geometry); values from VASP
&SYSTEM
  ibrav = 0, nat = 2, ntyp = 2
/
ATOMIC_SPECIES
Cl 35.45 Cl.upf
Cu 63.55 Cu.upf
CELL_PARAMETERS angstrom
-2.9427 0.5588 1.6194
1.2783 -3.1513 -0.1696
1.6469 0.5166 2.8143
ATOMIC_POSITIONS angstrom
Cl -0.3006 -0.2905 3.1338
Cu 0.2830 -1.7855 1.1303
! symmetry: P-6m2
! raw total energy: -0.1072 Ha/atom


(13)
! CuClF10 (GGA-PBE, optimized geometry); values from VASP
&SYSTEM
  ibrav = 0, nat = 24, ntyp = 3
/
ATOMIC_SPECIES
Cl 35.45 Cl.upf
Cu 63.55 Cu.upf
F 19.00 F.upf
CELL_PARAMETERS angstrom
4.5755 -0.0001 0.0680
-0.0002 8.2979 0.0003
-1.5664 0.0002 6.4574
ATOMIC_POSITIONS angstrom
Cl 2.2862 4.1508 0.0341
Cl 1.5031 8.2961 3.2636
Cu 0.0012 0.0000 0.0010
Cu -0.7812 4.1482 3.2283
F 0.9577 5.1247 0.1478
F 3.0753 0.7696 0.5619
F 4.1481 6.8093 0.8964
F 1.5620 3.0428 1.0136
F 2.9249 4.8964 1.3867
F 0.8640 0.7447 1.9088
F 2.2284 7.1907 2.2839
F -0.3527 2.6556 2.4005
F 0.7246 4.9129 2.7352
F 2.8275 0.9766 3.1498
F 0.1752 7.3211 3.3783
F 2.2935 3.3798 3.7898
F 3.3652 5.6380 4.1210
F 0.7777 1.1060 4.2437
F 2.1433 7.5512 4.6171
F 0.0821 3.4040 5.1371
F 1.4445 5.2570 5.5121
F -1.1374 1.4929 5.6296
F -0.0611 7.5332 5.9650
F 2.0451 3.1742 6.3778
! symmetry: Pc
! energy relative to the lowest polymorph listed for this composition: 0.049 eV per formula unit


(14)
! FeCuCl4 (GGA-PBE, optimized geometry); values from VASP
&SYSTEM
  ibrav = 0, nat = 6, ntyp = 3
/
ATOMIC_SPECIES
Cl 35.45 Cl.upf
Cu 63.55 Cu.upf
Fe 55.84 Fe.upf
CELL_PARAMETERS angstrom
6.4022 0.0000 0.0000
0.0000 3.4369 0.0000
-2.6684 0.0000 5.9293
ATOMIC_POSITIONS angstrom
Cl 1.0743 1.7185 1.2483
Cl 4.0830 0.0000 1.4296
Cl -0.3492 0.0000 4.4997
Cl 2.6595 1.7185 4.6810
Cu 0.0000 0.0000 0.0000
Fe 3.2011 1.7185 0.0000
! symmetry: P2/m
! raw total energy: -0.1419 Ha/atom
! total moment: 4.4 Bohr magnetons per cell


(15)
! FeCuI2Cl2 (GGA-PBE, optimized geometry); values from VASP
&SYSTEM
  ibrav = 0, nat = 6, ntyp = 4
/
ATOMIC_SPECIES
Cl 35.45 Cl.upf
Cu 63.55 Cu.upf
Fe 55.84 Fe.upf
I 126.90 I.upf
CELL_PARAMETERS angstrom
-5.4395 2.6122 3.3642
2.8257 -4.2606 4.6467
3.6922 4.0037 -2.3388
ATOMIC_POSITIONS angstrom
Cl 0.4136 -1.1761 2.4940
Cl 2.7383 1.8073 3.5000
Cu 0.6373 1.0961 2.8513
Fe 0.6595 -2.4593 4.3106
I 0.1090 2.3934 0.6714
I -1.1023 1.6847 4.6793
! symmetry: C2
! energy relative to the lowest polymorph listed for this composition: 0.000 eV per formula unit
! total moment: 5.0 Bohr magnetons per cell


(16)
! FeCuICl3 (GGA-PBE, optimized geometry); values from VASP
&SYSTEM
  ibrav = 0, nat = 6, ntyp = 4
/
ATOMIC_SPECIES
Cl 35.45 Cl.upf
Cu 63.55 Cu.upf
Fe 55.84 Fe.upf
I 126.90 I.upf
CELL_PARAMETERS angstrom
5.7932 0.0000 0.0000
0.0233 5.9340 0.0000
2.8750 2.6390 5.2288
ATOMIC_POSITIONS angstrom
Cl 1.4369 1.6613 1.2908
Cl 4.4377 4.1101 1.3392
Cl 7.0442 4.1627 3.9093
Cu 2.9374 2.9095 0.0618
Fe 5.8366 2.8623 2.5573
I 4.3867 7.2103 3.9137
! symmetry: P1
! energy relative to the lowest polymorph listed for this composition: 0.000 eV per formula unit
! total moment: 5.0 Bohr magnetons per cell


(17)
! FeCuI2Cl2 (GGA-PBE, optimized geometry); values from VASP
&SYSTEM
  ibrav = 0, nat = 6, ntyp = 4
/
ATOMIC_SPECIES
Cl 35.45 Cl.upf
Cu 63.55 Cu.upf
Fe 55.84 Fe.upf
I 126.90 I.upf
CELL_PARAMETERS angstrom
-2.6510 3.3343 4.3065
-5.4342 -1.9737 -1.8460
4.0153 -4.8003 2.2939
ATOMIC_POSITIONS angstrom
Cl -2.0742 -0.5376 1.7213
Cl 0.4393 -1.8525 4.1124
Cu -3.9628 0.7253 1.2835
Fe -1.2956 -0.4695 3.8205
I -6.0395 -0.0647 2.6340
I -0.5889 -4.3929 1.0827
! symmetry: P1
! energy relative to the lowest polymorph listed for this composition: 0.007 eV per formula unit
! total moment: 5.0 Bohr magnetons per cell


(18)
! Ga2CuCl8 (GGA-PBE, optimized geometry); values from VASP
&SYSTEM
  ibrav = 0, nat = 22, ntyp = 3
/
ATOMIC_SPECIES
Cl 35.45 Cl.upf
Cu 63.55 Cu.upf
Ga 69.72 Ga.upf
CELL_PARAMETERS angstrom
6.5469 0.0000 -0.0042
0.0000 7.4444 0.0000
-0.8421 0.0000 12.3427
ATOMIC_POSITIONS angstrom
Cl 5.6798 1.7819 1.1894
Cl 1.8843 0.0665 1.3475
Cl 2.2584 3.6708 1.6871
Cl 5.3282 5.4086 1.7484
Cl 0.7976 1.6864 4.4188
Cl 3.8674 7.3930 4.4801
Cl 4.2415 3.7886 4.8197
Cl 0.4460 5.5040 4.9778
Cl 5.2588 1.9403 7.3608
Cl 1.4633 3.6557 7.5188
Cl 1.8374 0.0514 7.8585
Cl 4.9072 5.7580 7.9197
Cl 0.3766 2.0358 10.5902
Cl 3.4464 3.7736 10.6514
Cl 3.8205 7.3779 10.9911
Cl 0.0250 5.6625 11.1491
Cu 0.0000 0.0000 0.0000
Cu -0.4210 3.7222 6.1714
Ga 1.1125 1.9804 2.2996
Ga 5.0134 5.7026 3.8676
Ga 0.6914 1.7417 8.4709
Ga 4.5924 5.4639 10.0390
! symmetry: P2_1/c
! raw total energy: -0.1157 Ha/atom


(19)
! GaCuI2Cl2 (GGA-PBE, optimized geometry); values from VASP
&SYSTEM
  ibrav = 0, nat = 6, ntyp = 4
/
ATOMIC_SPECIES
Cl 35.45 Cl.upf
Cu 63.55 Cu.upf
Ga 69.72 Ga.upf
I 126.90 I.upf
CELL_PARAMETERS angstrom
5.9268 0.0000 0.0000
-0.1537 5.9420 0.0000
-2.5827 -2.7233 5.4885
ATOMIC_POSITIONS angstrom
Cl 4.2565 4.7233 1.4033
Cl 1.9435 -1.3473 4.0708
Cu 5.8572 0.0225 0.0094
Ga 3.1168 0.0390 2.7485
I 1.5682 1.5250 1.3253
I -1.3195 1.5986 4.1639
! symmetry: P1
! raw total energy: -0.1064 Ha/atom


(20)
! GaCuI2Cl2 (GGA-PBE, optimized geometry); values from VASP
&SYSTEM
  ibrav = 0, nat = 6, ntyp = 4
/
ATOMIC_SPECIES
Cl 35.45 Cl.upf
Cu 63.55 Cu.upf
Ga 69.72 Ga.upf
I 126.90 I.upf
CELL_PARAMETERS angstrom
4.1899 -5.4480 0.0000
4.1899 5.4480 0.0000
-4.0390 0.0000 4.1890
ATOMIC_POSITIONS angstrom
Cl -0.0298 -1.3561 1.8382
Cl 4.3705 -1.3561 2.3508
Cu 2.1703 5.3672 2.0945
Ga 4.1899 2.7930 0.0000
I 2.0522 1.3619 0.0505
I 2.2885 1.3619 4.1385
! symmetry: C2
! raw total energy: -0.1064 Ha/atom